## Ce2SmGe (PBE-GGA)

Data for a geometry-optimized Ce2SmGe structure.

Properties
**SG**: P4/mmm
**DFT formation energy**: -0.328 eV per atom
**Calculated volume**: 111 Å³ per cell
**Crystal system**: tetragonal
**Energy relative to the lowest polymorph listed for this composition**: 138 meV per atom

Cell lengths 3.9853, 3.9853, 6.9580 Å; angles 90.00, 90.00, 90.00 degrees
Last column: nearest neighbours and their distance in Å.
Positions (direct):
Sm1 0.5000 0.5000 0.0000  2 Ge 3.48, 8 Ce 3.54
Ce1 0.0000 0.0000 0.6933  1 Ce 2.69
Ce2 0.0000 0.0000 0.3067  1 Ce 2.69
Ge1 0.5000 0.5000 0.5000  8 Ce 3.12, 2 Sm 3.48